[1]
Crystalline YMn2Os at its relaxed geometry. Source: the Alexandria database, functional PBE-GGA.

Computed properties:
V (Å³ per cell): 69
SG: No. 166
Density of states at the Fermi level (states/eV per cell): 5.712
E_form (eV per atom): 0.60
Offset from the most stable computed form (kcal/mol of atoms): 10.25

Cell and atoms, written as POSCAR:
```
YMn2Os
1.0
9.4571 -0.0246 -0.0145
9.0110 2.8702 -0.0145
9.0110 1.3884 2.5121
Mn Os Y
2 1 1
direct
0.0115 0.0115 0.0115 Mn
0.4885 0.4885 0.4885 Mn
0.7500 0.7500 0.7500 Os
0.2500 0.2500 0.2500 Y
```

[2]
Crystalline CeGdInAu at its relaxed geometry. Source: the Alexandria database, functional PBE-GGA.

Computed properties:
V (Å³ per cell): 106
SG: No. 216
Density of states at the Fermi level (states/eV per cell): 11.517
E_form (eV per atom): -0.50

Cell and atoms, written as POSCAR:
```
CeGdInAu
1.0
5.3169 0.0000 0.0000
2.6585 4.6046 0.0000
2.6585 1.5349 4.3412
Gd Au Ce In
1 1 1 1
direct
0.0000 0.0000 0.0000 Gd
0.2500 0.2500 0.2500 Au
0.5000 0.5000 0.5000 Ce
0.7500 0.7500 0.7500 In
```

Q: V of number 2 (CeGdInAu)?
A: 106 Å³ per cell

Q: What is the formula in the second record?
A: CeGdInAu